Density functional theory data (PBE) for a relaxed structure of NdMg2CuSi2.

a = 5.167 Å, b = 5.167 Å, c = 10.514 Å
α = 90.00°, β = 90.00°, γ = 90.00°
Space group I4/mmm (No. 139)
One atom of each set of equivalent atoms:
Nd 0.000 0.000 0.000
Mg 0.000 0.500 0.250
Cu 0.000 0.000 0.500
Si 0.000 0.000 0.291

Values from the calculation:
For the formation energy (no corrections), the calculation gives 100 meV per atom. The value obtained for the total energy is -3.717 eV per atom.

***

Density functional theory data (PBE) for a relaxed structure of NaZn2Ga4.

a = 7.318 Å, b = 7.318 Å, c = 4.931 Å
α = 90.00°, β = 90.00°, γ = 90.00°
Space group I4/mmm (No. 139)
One atom of each set of equivalent atoms:
Na 0.000 0.000 0.000
Zn 0.000 0.500 0.250
Ga 0.191 0.191 0.500

Values from the calculation:
The value obtained for the total energy is -2.321 eV per atom.

***

Density functional theory data (PBE) for a relaxed structure of TbDy2Er12.

a = 3.585 Å, b = 5.601 Å, c = 23.191 Å
α = 90.00°, β = 94.40°, γ = 90.00°
Space group P2/m (No. 10)
One atom of each set of equivalent atoms:
Tb 0.000 0.000 0.000
Dy 0.144 0.000 0.285
Er 0.100 0.500 0.193
Er 0.223 0.500 0.443
Er 0.286 0.000 0.574
Er 0.337 0.500 0.678
Er 0.425 0.000 0.853
Er 0.462 0.500 0.933

Values from the calculation:
The value obtained for the total energy is -4.499 eV per atom.

***

Density functional theory data (PBE) for a relaxed structure of K3NpSn2Se6.

a = 7.529 Å, b = 13.036 Å, c = 7.920 Å
α = 90.00°, β = 108.50°, γ = 90.00°
Space group C2/m (No. 12)
One atom of each set of equivalent atoms:
K 0.000 0.000 0.000
K 0.000 0.326 0.000
Np 0.000 0.500 0.500
Sn 0.000 0.166 0.500
Se 0.223 0.344 0.703
Se 0.242 0.500 0.296

Values from the calculation:
For the formation energy (no corrections), the calculation gives -966 meV per atom. The value obtained for the total energy is -4.728 eV per atom.

***

Density functional theory data (PBE) for a relaxed structure of CaCoNi.

a = 3.8745 Å, b = 3.8745 Å, c = 4.2923 Å
α = 90.00°, β = 90.00°, γ = 120.00°
Space group P-6m2 (No. 187)
One atom of each set of equivalent atoms:
Ca 0.0000 0.0000 0.0000
Co 0.6667 0.3333 0.5000
Ni 0.3333 0.6667 0.5000

Values from the calculation:
The value obtained for the total energy is -4.863 eV per atom. The energy above the most stable polymorph in this dataset is 0 meV/atom.

***

Density functional theory data (PBE) for a relaxed structure of Cs2SbAsF.

a = 7.375 Å, b = 7.375 Å, c = 4.513 Å
α = 90.00°, β = 90.00°, γ = 90.00°
Space group P4/mmm (No. 123)
One atom of each set of equivalent atoms:
Cs 0.000 0.500 0.000
Sb 0.000 0.000 0.000
As 0.500 0.500 0.500
F 0.000 0.000 0.500

Values from the calculation:
For the formation energy (no corrections), the calculation gives -351 meV per atom. The value obtained for the total energy is -2.821 eV per atom.

***

Density functional theory data (PBE) for a relaxed structure of Cs3SeO4.

a = 6.511 Å, b = 9.593 Å, c = 6.533 Å
α = 90.00°, β = 90.00°, γ = 90.00°
Space group Imm2 (No. 44)
One atom of each set of equivalent atoms:
Cs 0.000 0.000 0.000
Cs 0.000 0.244 0.507
Se 0.000 0.500 0.973
O 0.000 0.314 0.056
O 0.209 0.500 0.809

Values from the calculation:
For the formation energy (no corrections), the calculation gives -1242 meV per atom. The value obtained for the total energy is -4.477 eV per atom.

***

Density functional theory data (PBE) for a relaxed structure of CaMn2Os.

a = 2.8570 Å, b = 2.8570 Å, c = 27.4925 Å
α = 90.00°, β = 90.00°, γ = 120.00°
Space group R3m (No. 160, hexagonal axes)
One atom of each set of equivalent atoms:
Ca 0.0000 0.0000 0.0000
Mn 0.0000 0.0000 0.5034
Mn 0.0000 0.0000 0.7632
Os 0.0000 0.0000 0.2408

Values from the calculation:
The value obtained for the total energy is -7.231 eV per atom. The energy above the most stable polymorph in this dataset is 342 meV/atom.

***

Density functional theory data (PBE) for a relaxed structure of CuRh3C.

a = 4.454 Å, b = 4.454 Å, c = 4.454 Å
α = 90.00°, β = 90.00°, γ = 90.00°
Space group Pm-3m (No. 221)
One atom of each set of equivalent atoms:
Cu 0.000 0.000 0.000
Rh 0.000 0.000 0.500
C 0.500 0.500 0.500

Values from the calculation:
The value obtained for the total energy is -4.573 eV per atom. The energy above the most stable polymorph in this dataset is 2308 meV/atom.

***

Density functional theory data (PBE) for a relaxed structure of CrSbSe2.

a = 3.460 Å, b = 4.051 Å, c = 12.754 Å
α = 90.00°, β = 90.00°, γ = 90.00°
Space group Imm2 (No. 44)
One atom of each set of equivalent atoms:
Cr 0.000 0.000 0.000
Sb 0.000 0.500 0.712
Se 0.000 0.000 0.553
Se 0.000 0.500 0.350

Values from the calculation:
For the formation energy (no corrections), the calculation gives -29 meV per atom. The value obtained for the total energy is -5.208 eV per atom. The energy above the most stable polymorph in this dataset is 287 meV/atom.

***

Density functional theory data (PBE) for a relaxed structure of Hg2TeRh.

a = 5.319 Å, b = 3.390 Å, c = 6.455 Å
α = 90.00°, β = 114.28°, γ = 90.00°
Space group Pm (No. 6)
One atom of each set of equivalent atoms:
Hg 0.000 0.000 0.000
Hg 0.341 0.500 0.672
Te 0.654 0.000 0.298
Rh 0.816 0.500 0.621

Values from the calculation:
For the formation energy (no corrections), the calculation gives -50 meV per atom. The value obtained for the total energy is -2.825 eV per atom. The energy above the most stable polymorph in this dataset is 36 meV/atom.

***

Density functional theory data (PBE) for a relaxed structure of Ac2La7Pr.

a = 12.576 Å, b = 17.836 Å, c = 3.645 Å
α = 90.00°, β = 90.00°, γ = 90.00°
Space group Cmmm (No. 65)
One atom of each set of equivalent atoms:
Ac 0.000 0.175 0.000
La 0.000 0.335 0.500
La 0.000 0.500 0.000
La 0.238 0.376 0.000
Pr 0.000 0.000 0.500

Values from the calculation:
The value obtained for the total energy is -4.384 eV per atom. The energy above the most stable polymorph in this dataset is 238 meV/atom.

***

Density functional theory data (PBE) for a relaxed structure of AgSe3.

a = 2.786 Å, b = 2.786 Å, c = 12.375 Å
α = 90.00°, β = 90.00°, γ = 90.00°
Space group P4/mmm (No. 123)
One atom of each set of equivalent atoms:
Ag 0.000 0.000 0.000
Se 0.000 0.000 0.500
Se 0.500 0.500 0.188

Values from the calculation:
For the formation energy (no corrections), the calculation gives 240 meV per atom. The value obtained for the total energy is -3.087 eV per atom.

***

Density functional theory data (PBE) for a relaxed structure of PuAl9Zn2.

a = 10.871 Å, b = 10.871 Å, c = 7.143 Å
α = 90.00°, β = 90.00°, γ = 90.00°
Space group I4_1/amd (No. 141, origin choice 2)
One atom of each set of equivalent atoms:
Pu 0.000 0.250 0.375
Al 0.000 0.250 0.875
Al 0.122 0.047 0.677
Zn 0.000 0.000 0.000

Values from the calculation:
The value obtained for the total energy is -4.257 eV per atom.

***

Density functional theory data (PBE) for a relaxed structure of TiCu2SiS.

a = 4.293 Å, b = 4.293 Å, c = 4.938 Å
α = 90.00°, β = 90.00°, γ = 90.00°
Space group P4/mmm (No. 123)
One atom of each set of equivalent atoms:
Ti 0.000 0.000 0.000
Cu 0.000 0.500 0.500
Si 0.500 0.500 0.500
S 0.500 0.500 0.000

Values from the calculation:
For the formation energy (no corrections), the calculation gives 459 meV per atom. The value obtained for the total energy is -4.668 eV per atom.

***

Density functional theory data (PBE) for a relaxed structure of Cr2SbRh.

a = 3.993 Å, b = 3.993 Å, c = 7.739 Å
α = 90.00°, β = 90.00°, γ = 90.00°
Space group I-4m2 (No. 119)
One atom of each set of equivalent atoms:
Cr 0.000 0.000 0.000
Cr 0.000 0.500 0.250
Sb 0.000 0.500 0.750
Rh 0.000 0.000 0.500

Values from the calculation:
For the formation energy (no corrections), the calculation gives -64 meV per atom. The value obtained for the total energy is -7.745 eV per atom.

***

Density functional theory data (PBE) for a relaxed structure of SrGa3Pt3.

a = 8.023 Å, b = 8.023 Å, c = 8.023 Å
α = 90.00°, β = 90.00°, γ = 90.00°
Space group P2_13 (No. 198)
One atom of each set of equivalent atoms:
Sr 0.056 0.444 0.556
Ga 0.036 0.310 0.926
Pt 0.116 0.616 0.884
Pt 0.187 0.813 0.313
Pt 0.188 0.188 0.188

Values from the calculation:
The value obtained for the total energy is -4.764 eV per atom. The energy above the most stable polymorph in this dataset is 0 meV/atom.

***

Density functional theory data (PBE) for a relaxed structure of BaTiI2N.

a = 6.632 Å, b = 6.632 Å, c = 4.508 Å
α = 90.00°, β = 90.00°, γ = 90.00°
Space group P4/mmm (No. 123)
One atom of each set of equivalent atoms:
Ba 0.000 0.000 0.000
Ti 0.500 0.500 0.500
I 0.000 0.500 0.000
N 0.000 0.000 0.500

Values from the calculation:
For the formation energy (no corrections), the calculation gives 815 meV per atom. The value obtained for the total energy is -3.434 eV per atom. The energy above the most stable polymorph in this dataset is 1611 meV/atom.

***

Density functional theory data (PBE) for a relaxed structure of Li2CaMn.

a = 3.155 Å, b = 4.871 Å, c = 5.917 Å
α = 90.00°, β = 99.84°, γ = 90.00°
Space group P2/m (No. 10)
One atom of each set of equivalent atoms:
Li 0.236 0.000 0.297
Ca 0.500 0.500 0.000
Mn 0.000 0.500 0.500

Values from the calculation:
The value obtained for the total energy is -3.385 eV per atom. The energy above the most stable polymorph in this dataset is 67 meV/atom.

***

Density functional theory data (PBE) for a relaxed structure of NaMg2Se.

a = 8.836 Å, b = 8.836 Å, c = 5.675 Å
α = 90.00°, β = 90.00°, γ = 90.00°
Space group I-42d (No. 122)
One atom of each set of equivalent atoms:
Na 0.000 0.000 0.000
Mg 0.170 0.250 0.625
Se 0.000 0.000 0.500

Values from the calculation:
For the formation energy (no corrections), the calculation gives -387 meV per atom. The value obtained for the total energy is -2.385 eV per atom.

***

Density functional theory data (PBE) for a relaxed structure of CoIrPt2.

a = 3.841 Å, b = 3.841 Å, c = 3.892 Å
α = 90.00°, β = 90.00°, γ = 90.00°
Space group P4/mmm (No. 123)
One atom of each set of equivalent atoms:
Co 0.000 0.000 0.000
Ir 0.500 0.500 0.000
Pt 0.000 0.500 0.500

Values from the calculation:
The value obtained for the total energy is -6.995 eV per atom. The energy above the most stable polymorph in this dataset is 39 meV/atom.

***

Density functional theory data (PBE) for a relaxed structure of Ta2Tl2B.

a = 3.788 Å, b = 3.788 Å, c = 14.587 Å
α = 90.00°, β = 90.00°, γ = 90.00°
Space group I4/mmm (No. 139)
One atom of each set of equivalent atoms:
Ta 0.000 0.000 0.083
Tl 0.000 0.500 0.250
B 0.000 0.000 0.500

Values from the calculation:
The value obtained for the total energy is -5.490 eV per atom. The energy above the most stable polymorph in this dataset is 1201 meV/atom.

***

Density functional theory data (PBE) for a relaxed structure of ScZnGa.

a = 3.166 Å, b = 3.166 Å, c = 10.739 Å
α = 90.00°, β = 90.00°, γ = 90.00°
Space group I4mm (No. 107)
One atom of each set of equivalent atoms:
Sc 0.000 0.000 0.000
Zn 0.000 0.000 0.324
Ga 0.000 0.000 0.679

Values from the calculation:
The value obtained for the total energy is -3.850 eV per atom.

***

Density functional theory data (PBE) for a relaxed structure of SmGa4Pt2Rh.

a = 4.2868 Å, b = 4.2868 Å, c = 26.3144 Å
α = 90.00°, β = 90.00°, γ = 120.00°
Space group R-3m (No. 166, hexagonal axes)
One atom of each set of equivalent atoms:
Sm 0.0000 0.0000 0.0000
Ga 0.0000 0.0000 0.1325
Ga 0.0000 0.0000 0.3989
Pt 0.0000 0.0000 0.2365
Rh 0.0000 0.0000 0.5000

Values from the calculation:
The value obtained for the total energy is -5.263 eV per atom.